First-principles (PBE-GGA) data for a relaxed structure of Ag2TeO, as listed in the Open Quantum Materials Database.

```
Ag2TeO
1.0
-1.998 0.511 -3.047
0.917 -3.405 1.049
-11.267 -0.801 7.253
Ag Te O
4 2 2
direct
0.333 0.667 0.261
0.667 0.333 0.761
0.000 0.000 0.980
0.000 0.000 0.480
0.333 0.667 0.623
0.667 0.333 0.123
0.000 0.000 0.324
0.000 0.000 0.824
```

Computed properties:
**SG**: No. 186
**Calculated volume**: 19.7 Å³ per atom
**Raw total energy**: -3.392 eV/atom
**Offset from the most stable computed form**: 90.5 meV/atom